Pm3Ag2Hg4 | PBE | relaxed

The structure belongs to space group C2/m (No. 12); the cell edges are 11.089, 4.972 and 9.240 Å and the angles 90.00°, 119.85° and 90.00°. The inequivalent atoms are Pm at (0.000, 0.000, 0.000), Pm at (0.167, 0.500, 0.665), Ag at (0.108, 0.500, 0.277), Hg at (0.059, 0.000, 0.388) and Hg at (0.215, 0.500, 0.055).

Its total magnetization is 0.000 μB per formula unit. The energy relative to the elements comes out at -0.396 eV/atom. The value obtained for the final energy is -2.75 eV per atom.